VASP calculation (PBE-GGA) on a relaxed TmThGeTe crystal.

Properties
Total magnetization in μB per cell: 0.0
ΔE_f (raw) in meV/atom: -1067
Crystal system: trigonal

abc: 4.2851 4.2851 7.5483
angles: 73.51 73.51 60.00
With the nearest neighbours (Å) after each atom.
Fractional coordinates of all 4 atoms:
Th1 0.5109 0.5109 0.4673  3 Ge 2.97, 3 Te 3.25
Ge1 0.2540 0.2540 0.2381  3 Tm 2.88, 3 Th 2.97
Te1 0.7457 0.7457 0.7628  3 Tm 3.13, 3 Th 3.25
Tm1 0.9894 0.9894 0.0319  3 Ge 2.88, 3 Te 3.13

VASP calculation (PBE-GGA) on a relaxed TmTh2Ge2Te2 crystal.

Properties
Total magnetization in μB per cell: 0.0
ΔE_f (raw) in meV/atom: -632
Crystal system: tetragonal

abc: 5.1761 5.1761 8.7210
angles: 107.26 107.26 90.00
With the nearest neighbours (Å) after each atom.
Fractional coordinates of all 7 atoms:
Ge1 0.0000 0.5000 0.0000  2 Tm 2.59
Th1 0.3874 0.3874 0.7748  1 Te 3.13, 4 Ge 3.14
Tm1 0.0000 0.0000 0.0000  4 Ge 2.59
Te1 0.1894 0.1894 0.3789  1 Tm 3.00, 1 Th 3.13
Ge2 0.5000 0.0000 0.0000  2 Tm 2.59
Te2 0.8106 0.8106 0.6211  1 Tm 3.00, 1 Th 3.13
Th2 0.6126 0.6126 0.2252  1 Te 3.13, 4 Ge 3.14

VASP calculation (PBE-GGA) on a relaxed TiGeTe3 crystal.

Properties
Total magnetization in μB per cell: 0.0
ΔE_f (raw) in meV/atom: -422
Crystal system: orthorhombic

abc: 3.9258 10.2777 15.2384
angles: 90.00 90.00 90.00
With the nearest neighbours (Å) after each atom.
Fractional coordinates of all 20 atoms:
Te1 0.7500 0.7871 0.1944  2 Ge 2.74, 1 Ti 2.80
Ti1 0.7500 0.1492 0.4641  6 Te 2.76-2.83
Te2 0.2500 0.4965 0.1160  3 Ti 2.76-2.79
Te3 0.7500 0.0035 0.6160  3 Ti 2.76-2.79
Ge1 0.2500 0.4359 0.3816  3 Te 2.74-2.75
Te4 0.2500 0.9965 0.3840  3 Ti 2.76-2.79
Te5 0.7500 0.5035 0.8840  3 Ti 2.76-2.79
Te6 0.2500 0.8111 0.9590  1 Ge 2.75, 2 Ti 2.83
Ti2 0.2500 0.8508 0.5359  6 Te 2.76-2.83
Te7 0.2500 0.2129 0.8056  2 Ge 2.74, 1 Ti 2.80
Ge2 0.2500 0.9359 0.1184  3 Te 2.74-2.75
Te8 0.7500 0.6889 0.4590  1 Ge 2.75, 2 Ti 2.83
Te9 0.2500 0.7129 0.6944  2 Ge 2.74, 1 Ti 2.80
Ti3 0.2500 0.3508 0.9641  6 Te 2.76-2.83
Te10 0.7500 0.1889 0.0410  1 Ge 2.75, 2 Ti 2.83
Ge3 0.7500 0.5641 0.6184  3 Te 2.74-2.75
Te11 0.2500 0.3111 0.5410  1 Ge 2.75, 2 Ti 2.83
Ti4 0.7500 0.6492 0.0359  6 Te 2.76-2.83
Ge4 0.7500 0.0641 0.8816  3 Te 2.74-2.75
Te12 0.7500 0.2871 0.3056  2 Ge 2.74, 1 Ti 2.80

VASP calculation (PBE-GGA) on a relaxed Ti2Ge2Te crystal.

Properties
Relative energy among the computed polymorphs in meV/atom: 0
Total magnetization in μB per cell: 0.0
ΔE_f (raw) in meV/atom: -434
Crystal system: tetragonal

abc: 3.6710 3.6710 7.3809
angles: 75.60 75.60 90.00
With the nearest neighbours (Å) after each atom.
Fractional coordinates of all 5 atoms:
Te1 0.0000 0.0000 0.0000  8 Ti 2.98
Ge1 0.2500 0.7500 0.5000  4 Ge 2.60, 4 Ti 2.71
Ge2 0.7500 0.2500 0.5000  4 Ge 2.60, 4 Ti 2.71
Ti1 0.6054 0.6054 0.7892  4 Ge 2.71, 1 Ti 2.91, 4 Te 2.98
Ti2 0.3946 0.3946 0.2108  4 Ge 2.71, 1 Ti 2.91, 4 Te 2.98

Question: Number 1 is which compound?
Answer: TmThGeTe